# 1
First-principles (PBE) data for crystalline KCu3Si at its relaxed geometry, as listed in Alexandria.

## Properties
The formation energy from raw total energies is 0.19 eV per atom. The space group is No. 221. The energy relative to the lowest polymorph listed for this composition comes out at 0.000 eV/atom.

abc: 4.6308 4.6308 4.6308
angles: 90.00 90.00 90.00
With the nearest neighbours (Å) after each atom.
Atoms (fractional coordinates):
K: 0.5000 0.5000 0.5000  12 Cu 3.27
Si: 0.0000 0.0000 0.0000  6 Cu 2.32
Cu: 0.0000 0.5000 0.0000  2 Si 2.32
Cu: 0.0000 0.0000 0.5000  2 Si 2.32
Cu: 0.5000 0.0000 0.0000  2 Si 2.32

---

# 2
First-principles (PBE) data for crystalline YNiSb2 at its relaxed geometry, as listed in Alexandria.

## Properties
The formation energy from raw total energies is -0.34 eV per atom. The space group is No. 47.

abc: 4.6653 4.6536 4.0594
angles: 90.00 90.00 90.00
With the nearest neighbours (Å) after each atom.
Atoms (fractional coordinates):
Ni: 0.0000 0.5000 0.5000  8 Sb 3.09, 4 Y 3.29
Sb: 0.0000 0.0000 0.0000  4 Ni 3.09, 4 Y 3.09, 4 Sb 3.29
Sb: 0.5000 0.5000 0.0000  4 Y 3.09, 4 Ni 3.09, 4 Sb 3.29
Y: 0.5000 0.0000 0.5000  8 Sb 3.09, 4 Ni 3.29

---

# 3
First-principles (PBE) data for crystalline LaNdTl6 at its relaxed geometry, as listed in Alexandria.

## Properties
The space group is No. 123. The formation energy comes out at -0.340 eV/atom.

abc: 4.8657 4.8657 9.7174
angles: 90.00 90.00 90.00
With the nearest neighbours (Å) after each atom.
Atoms (fractional coordinates):
La: 0.0000 0.0000 0.0000  12 Tl 3.44-3.45
Nd: 0.0000 0.0000 0.5000  12 Tl 3.42-3.44
Tl: 0.5000 0.5000 0.0000  4 La 3.44, 8 Tl 3.45
Tl: 0.5000 0.5000 0.5000  8 Tl 3.42, 4 Nd 3.44
Tl: 0.5000 0.0000 0.2522  8 Tl 3.42-3.45, 2 Nd 3.42, 2 La 3.45
Tl: 0.5000 0.0000 0.7478  8 Tl 3.42-3.45, 2 Nd 3.42, 2 La 3.45
Tl: 0.0000 0.5000 0.2522  8 Tl 3.42-3.45, 2 Nd 3.42, 2 La 3.45
Tl: 0.0000 0.5000 0.7478  8 Tl 3.42-3.45, 2 Nd 3.42, 2 La 3.45

---

# 4
First-principles (PBE) data for crystalline Sm3DyRh8 at its relaxed geometry, as listed in Alexandria.

## Properties
The space group is No. 160. The formation energy comes out at -0.707 eV/atom.

abc: 5.3743 5.3743 9.3086
angles: 73.22 73.22 60.00
With the nearest neighbours (Å) after each atom.
Atoms (fractional coordinates):
Sm: 0.3750 0.3750 0.8749  12 Rh 3.15-3.16, 4 Sm 3.29-3.30
Sm: 0.9998 0.9998 0.0006  12 Rh 3.15-3.17, 3 Sm 3.29, 1 Dy 3.29
Sm: 0.5004 0.5004 0.4988  12 Rh 3.13-3.15, 3 Dy 3.28, 1 Sm 3.30
Dy: 0.8747 0.8747 0.3759  12 Rh 3.13-3.15, 4 Sm 3.28-3.29
Rh: 0.9367 0.4371 0.1890  6 Rh 2.68-2.70
Rh: 0.4385 0.9378 0.6860  6 Rh 2.68-2.70
Rh: 0.4371 0.4371 0.1890  6 Rh 2.68-2.70
Rh: 0.9378 0.9378 0.6860  6 Rh 2.68-2.70
Rh: 0.1876 0.1876 0.4373  6 Rh 2.68
Rh: 0.6875 0.6875 0.9376  6 Rh 2.70
Rh: 0.4371 0.9367 0.1890  6 Rh 2.68-2.70
Rh: 0.9378 0.4385 0.6860  6 Rh 2.68-2.70

---

# 5
First-principles (PBE) data for crystalline LiPb2 at its relaxed geometry, as listed in Alexandria.

## Properties
The space group is No. 12. The energy relative to the lowest polymorph listed for this composition comes out at 0.056 eV/atom. The formation energy comes out at -0.114 eV/atom.

abc: 6.3100 6.3100 7.8413
angles: 72.37 72.37 32.28
With the nearest neighbours (Å) after each atom.
Atoms (fractional coordinates):
Li: 0.6617 0.6617 0.6922  8 Pb 3.13-3.23, 2 Li 3.51
Li: 0.6160 0.6160 0.2523  8 Pb 3.13-3.23, 2 Li 3.51
Pb: 0.9982 0.9982 0.0179  4 Li 3.19-3.22, 8 Pb 3.26-3.56
Pb: 0.3051 0.3051 0.3663  4 Li 3.13-3.23, 6 Pb 3.46-3.51
Pb: 0.9727 0.9727 0.5781  4 Li 3.13-3.23, 6 Pb 3.46-3.51
Pb: 0.2796 0.2796 0.9266  4 Li 3.19-3.22, 8 Pb 3.26-3.56

---

# 6
First-principles (PBE) data for crystalline IrN2Cl at its relaxed geometry, as listed in Alexandria.

## Properties
The formation energy from raw total energies is 0.98 eV per atom. The space group is No. 122. The energy relative to the lowest polymorph listed for this composition comes out at 0.110 eV/atom.

abc: 5.7920 5.7920 5.8589
angles: 60.38 60.38 90.00
With the nearest neighbours (Å) after each atom.
Atoms (fractional coordinates):
N: 0.7989 0.1250 0.2500  2 Ir 1.84
N: 0.9511 0.6250 0.2500  2 Ir 1.84
N: 0.3750 0.2011 0.7500  2 Ir 1.84
N: 0.8750 0.0489 0.7500  2 Ir 1.84
Ir: 0.0000 0.0000 0.0000  4 N 1.84
Ir: 0.7500 0.2500 0.5000  4 N 1.84
Cl: 0.5000 0.5000 0.0000  4 N 3.04
Cl: 0.2500 0.7500 0.5000  4 N 3.04

---

# 7
First-principles (PBE) data for crystalline Hf3V2P4 at its relaxed geometry, as listed in Alexandria.

## Properties
The space group is No. 12. The formation energy comes out at -0.950 eV/atom.

abc: 3.5054 6.3102 8.1177
angles: 121.77 90.00 106.13
With the nearest neighbours (Å) after each atom.
Atoms (fractional coordinates):
Hf: 0.6289 0.2578 0.7124  7 P 2.62-2.85
Hf: 0.0000 0.0000 0.0000  6 P 2.61-2.85
Hf: 0.3711 0.7422 0.2876  7 P 2.62-2.85
V: 0.6888 0.3777 0.3651  4 P 2.34-2.47, 2 V 2.55
V: 0.3112 0.6223 0.6349  4 P 2.34-2.47, 2 V 2.55
P: 0.6799 0.3598 0.0700  1 V 2.34, 3 Hf 2.61-2.62
P: 0.3201 0.6402 0.9300  1 V 2.34, 3 Hf 2.61-2.62
P: 0.9300 0.8601 0.6033  3 V 2.37-2.47
P: 0.0700 0.1399 0.3967  3 V 2.37-2.47

---

Please write out number 5 again, unchanged.
First-principles (PBE) data for crystalline LiPb2 at its relaxed geometry, as listed in Alexandria.

## Properties
The space group is No. 12. The energy relative to the lowest polymorph listed for this composition comes out at 0.056 eV/atom. The formation energy comes out at -0.114 eV/atom.

abc: 6.3100 6.3100 7.8413
angles: 72.37 72.37 32.28
With the nearest neighbours (Å) after each atom.
Atoms (fractional coordinates):
Li: 0.6617 0.6617 0.6922  8 Pb 3.13-3.23, 2 Li 3.51
Li: 0.6160 0.6160 0.2523  8 Pb 3.13-3.23, 2 Li 3.51
Pb: 0.9982 0.9982 0.0179  4 Li 3.19-3.22, 8 Pb 3.26-3.56
Pb: 0.3051 0.3051 0.3663  4 Li 3.13-3.23, 6 Pb 3.46-3.51
Pb: 0.9727 0.9727 0.5781  4 Li 3.13-3.23, 6 Pb 3.46-3.51
Pb: 0.2796 0.2796 0.9266  4 Li 3.19-3.22, 8 Pb 3.26-3.56